[1]
A relaxed structure of Li2PN2, computed with PBE-GGA.

Computed properties:
For the formation energy (no corrections), the calculation gives -246.1 meV/atom. Its magnetic moment is 0.0000 μB/atom.

The structure in POSCAR format:
```
Li2PN2
1.0
-3.229 0.178 -4.147
-0.969 -4.277 -2.763
-4.785 -1.967 0.307
Li N P
4 4 2
direct
0.328 0.234 0.110
0.672 0.766 0.890
0.828 0.110 0.234
0.172 0.890 0.766
0.950 0.340 0.760
0.550 0.240 0.660
0.050 0.660 0.240
0.450 0.760 0.340
0.250 0.500 0.500
0.750 0.500 0.500
```


[2]
A relaxed structure of AlInBi3, computed with PBE-GGA.

Computed properties:
The calculated formation energy is 4.002 eV/f.u. Its magnetic moment is 0.0000 μB/atom. The energy above the lowest structure with this stoichiometry is 387.6 meV/atom.

The structure in POSCAR format:
```
AlInBi3
1.0
-2.499 -3.988 -3.365
-0.631 -3.473 4.584
-5.180 2.347 1.065
Al Bi In
1 3 1
direct
0.500 0.500 0.500
0.000 0.000 0.500
0.500 0.000 0.000
0.000 0.500 0.000
0.000 0.000 0.000
```


Final energy values, unit eV/atom, following the record order: -5.42; -2.82.